Entry 1:
# PBE Pm2NiBi, relaxed
data_Pm2NiBi
_cell_length_a 7.4893
_cell_length_b 7.4893
_cell_length_c 7.4893
_cell_angle_alpha 90.00
_cell_angle_beta 90.00
_cell_angle_gamma 90.00
_symmetry_space_group_name_H-M 'F m -3 m'
_symmetry_Int_Tables_number 225
_symmetry_space_group_name_Hall '-F 4 2 3'
loop_
_atom_site_label
_atom_site_fract_x
_atom_site_fract_y
_atom_site_fract_z
Pm1 0.2500 0.2500 0.2500
Ni1 0.0000 0.0000 0.0000
Bi1 0.0000 0.0000 0.5000
# Polymorph energy (0 for the lowest one) (meV per atom): 91


Entry 2:
# PBE Tc3PbN, relaxed
data_Tc3PbN
_cell_length_a 4.1713
_cell_length_b 4.1713
_cell_length_c 4.1713
_cell_angle_alpha 90.00
_cell_angle_beta 90.00
_cell_angle_gamma 90.00
_symmetry_space_group_name_H-M 'P m -3 m'
_symmetry_Int_Tables_number 221
_symmetry_space_group_name_Hall '-P 4 2 3'
loop_
_atom_site_label
_atom_site_fract_x
_atom_site_fract_y
_atom_site_fract_z
Tc1 0.0000 0.0000 0.5000
Pb1 0.5000 0.5000 0.5000
N1 0.0000 0.0000 0.0000
# Polymorph energy (0 for the lowest one) (meV per atom): 0
# Energy relative to the elements, uncorrected (kcal/mol of atoms): 7.0


Entry 3:
# PBE Ho2HfO5, relaxed
data_Ho2HfO5
_cell_length_a 7.5255
_cell_length_b 3.7357
_cell_length_c 15.7086
_cell_angle_alpha 90.00
_cell_angle_beta 90.00
_cell_angle_gamma 90.00
_symmetry_space_group_name_H-M 'P n m a'
_symmetry_Int_Tables_number 62
loop_
_symmetry_equiv_pos_as_xyz
'x,y,z'
'-x,-y,-z'
'-x+1/2,-y,z+1/2'
'x+1/2,y,-z+1/2'
'x+1/2,-y+1/2,-z+1/2'
'-x+1/2,y+1/2,z+1/2'
'-x,y+1/2,-z'
'x,-y+1/2,z'
loop_
_atom_site_label
_atom_site_fract_x
_atom_site_fract_y
_atom_site_fract_z
Ho1 0.0902 0.2500 0.0894
Ho2 0.1360 0.2500 0.7393
Hf1 0.1271 0.2500 0.4286
O1 0.0893 0.7500 0.6556
O2 0.0923 0.7500 0.4679
O3 0.1019 0.7500 0.1804
O4 0.1404 0.7500 0.0049
O5 0.1928 0.7500 0.8318
# Energy relative to the elements, uncorrected (kcal/mol of atoms): -82.6


Entry 4:
# PBE InCoNiAs, relaxed
data_InCoNiAs
_cell_length_a 7.8564
_cell_length_b 3.4025
_cell_length_c 6.0049
_cell_angle_alpha 90.00
_cell_angle_beta 126.44
_cell_angle_gamma 90.00
_symmetry_space_group_name_H-M 'C 1 m 1'
_symmetry_Int_Tables_number 8
loop_
_symmetry_equiv_pos_as_xyz
'x,y,z'
'x,-y,z'
'x+1/2,y+1/2,z'
'x+1/2,-y+1/2,z'
loop_
_atom_site_label
_atom_site_fract_x
_atom_site_fract_y
_atom_site_fract_z
In1 0.0000 0.0000 0.0000
Co1 0.2456 0.5000 0.4442
Ni1 0.1737 0.0000 0.7156
As1 0.4433 0.0000 0.4391
# Polymorph energy (0 for the lowest one) (meV per atom): 59


Entry 5:
# PBE LaPuCdSn, relaxed
data_LaPuCdSn
_cell_length_a 7.7446
_cell_length_b 7.7446
_cell_length_c 7.7446
_cell_angle_alpha 90.00
_cell_angle_beta 90.00
_cell_angle_gamma 90.00
_symmetry_space_group_name_H-M 'F -4 3 m'
_symmetry_Int_Tables_number 216
_symmetry_space_group_name_Hall 'F -4 2 3'
loop_
_atom_site_label
_atom_site_fract_x
_atom_site_fract_y
_atom_site_fract_z
La1 0.0000 0.0000 0.0000
Pu1 0.0000 0.0000 0.5000
Cd1 0.2500 0.2500 0.2500
Sn1 0.2500 0.2500 0.7500
# Calculated total energy (eV per atom): -6.388


Entry 6:
# PBE PuMgCuO5, relaxed
data_PuMgCuO5
_cell_length_a 6.3413
_cell_length_b 9.3998
_cell_length_c 7.6941
_cell_angle_alpha 90.00
_cell_angle_beta 113.15
_cell_angle_gamma 90.00
_symmetry_space_group_name_H-M 'C 1 2/c 1'
_symmetry_Int_Tables_number 15
loop_
_symmetry_equiv_pos_as_xyz
'x,y,z'
'-x,-y,-z'
'-x,y,-z+1/2'
'x,-y,z+1/2'
'x+1/2,y+1/2,z'
'-x+1/2,-y+1/2,-z'
'-x+1/2,y+1/2,-z+1/2'
'x+1/2,-y+1/2,z+1/2'
loop_
_atom_site_label
_atom_site_fract_x
_atom_site_fract_y
_atom_site_fract_z
Pu1 0.2500 0.2500 0.0000
Mg1 0.0000 0.0869 0.2500
Cu1 0.0000 0.4383 0.2500
O1 0.0000 0.1370 0.7500
O2 0.0117 0.2925 0.4324
O3 0.2474 0.4288 0.8514
# Energy relative to the elements, uncorrected (kcal/mol of atoms): -44.7


Entry 7:
# PBE PmTiNO2, relaxed
data_PmTiNO2
_cell_length_a 3.7177
_cell_length_b 3.7177
_cell_length_c 4.8011
_cell_angle_alpha 90.00
_cell_angle_beta 90.00
_cell_angle_gamma 90.00
_symmetry_space_group_name_H-M 'P 4 m m'
_symmetry_Int_Tables_number 99
loop_
_symmetry_equiv_pos_as_xyz
'x,y,z'
'-y,x,z'
'-x,-y,z'
'y,-x,z'
'-x,y,z'
'y,x,z'
'x,-y,z'
'-y,-x,z'
loop_
_atom_site_label
_atom_site_fract_x
_atom_site_fract_y
_atom_site_fract_z
Pm1 0.0000 0.0000 0.0000
Ti1 0.5000 0.5000 0.4530
N1 0.5000 0.5000 0.8293
O1 0.0000 0.5000 0.3210
# Energy relative to the elements, uncorrected (kcal/mol of atoms): -60.0


Entry 8:
# PBE Th2SbRu, relaxed
data_Th2SbRu
_cell_length_a 6.3340
_cell_length_b 4.1551
_cell_length_c 8.7444
_cell_angle_alpha 90.00
_cell_angle_beta 109.67
_cell_angle_gamma 90.00
_symmetry_space_group_name_H-M 'P 1 21/m 1'
_symmetry_Int_Tables_number 11
loop_
_symmetry_equiv_pos_as_xyz
'x,y,z'
'-x,-y,-z'
'-x,y+1/2,-z'
'x,-y+1/2,z'
loop_
_atom_site_label
_atom_site_fract_x
_atom_site_fract_y
_atom_site_fract_z
Th1 0.1658 0.2500 0.3905
Th2 0.2579 0.7500 0.0461
Sb1 0.3744 0.7500 0.6988
Ru1 0.1122 0.2500 0.8020
# Polymorph energy (0 for the lowest one) (meV per atom): 0
# Energy relative to the elements, uncorrected (kcal/mol of atoms): -16.2